First-principles (PBE-GGA) data for La2HgW after structural relaxation, as listed in Alexandria.

a = 3.5772 Å, b = 3.5906 Å, c = 9.1754 Å
α = 66.90°, β = 90.00°, γ = 90.00°
With the nearest neighbours (Å) after each atom.
Element x y z (fractional)
1 Hg 0.5000 0.7500 0.7500  8 La 3.48-3.49, 4 Hg 3.58-3.59
2 La 0.0000 0.5345 0.4667  4 W 3.12-3.13, 4 Hg 3.48-3.49
3 La 0.0000 0.9655 0.0333  4 W 3.12-3.13, 4 Hg 3.48-3.49
4 W 0.5000 0.2500 0.2500  8 La 3.12-3.13

Summary:
ρ: 10144 kg/m³
D(E_F): 4.49 states/eV/cell
E: -5.5666 eV per atom